The following is a DFT calculation (GGA-PBE) of PaAgGe after structural relaxation.

Properties
final energy = -5.77 eV per atom

Unit cell a=3.227 b=4.717 c=4.717 alpha=120.00 beta=90.00 gamma=90.00
Sites, in units of the cell vectors:
1 Ag 0.167 0.667 0.333
2 Pa 0.667 0.333 0.667
3 Ge 0.167 0.000 0.000

The following is a DFT calculation (GGA-PBE) of PrHo5Sb4 after structural relaxation.

Properties
E_form (uncorrected) = -0.703 eV per atom

Unit cell a=4.341 b=8.490 c=9.633 alpha=106.24 beta=103.02 gamma=90.00
Sites, in units of the cell vectors:
1 Ho 0.500 0.500 0.000
2 Ho 0.820 0.651 0.641
3 Ho 0.840 0.174 0.680
4 Ho 0.180 0.349 0.359
5 Ho 0.160 0.826 0.320
6 Sb 0.326 0.909 0.652
7 Sb 0.674 0.091 0.348
8 Sb 0.989 0.731 0.978
9 Sb 0.011 0.269 0.022
10 Pr 0.500 0.000 0.000

Results for calculated volume: 62; 331 (in Å³ per cell, following the order of the records).